(1)
A plane-wave DFT calculation with PBE was carried out for a relaxed structure of In2B2Br.

a = 5.620 Å, b = 5.620 Å, c = 3.260 Å
α = 90.00°, β = 90.00°, γ = 90.00°
Space group P4/mmm (No. 123)
One atom of each set of equivalent atoms:
In 0.000 0.500 0.000 x2
B 0.000 0.000 0.000 x1
B 0.000 0.000 0.500 x1
Br 0.500 0.500 0.500 x1

The value obtained for the density of states at the Fermi level is 2.38 states/eV/cell. As for the crystal system: tetragonal. As for the uncorrected formation energy: 0.2377 eV/atom.

***

(2)
A plane-wave DFT calculation with PBE was carried out for a relaxed structure of InBOs2Br.

a = 4.722 Å, b = 4.722 Å, c = 4.006 Å
α = 90.00°, β = 90.00°, γ = 90.00°
Space group P4/mmm (No. 123)
One atom of each set of equivalent atoms:
In 0.000 0.000 0.000 x1
B 0.500 0.500 0.000 x1
Os 0.000 0.500 0.500 x2
Br 0.500 0.500 0.500 x1

The value obtained for the density of states at the Fermi level is 3.79 states/eV/cell. As for the crystal system: tetragonal. As for the uncorrected formation energy: 2.2669 eV/atom.